Arrangement w

A plane-wave DFT calculation with PBE was carried out for a relaxed structure of NaDyTe.

The space group is C2/m (No. 12) and the conventional cell measures 10.804, 4.057 and 9.491 Å, with angles of 90.00, 106.94 and 90.00 degrees. Symmetry generates all atoms from Na at (0.141, 0.000, 0.006), Dy at (0.200, 0.000, 0.638) and Te at (0.071, 0.000, 0.311).

Arrangement x

A plane-wave DFT calculation with PBE was carried out for a relaxed structure of NaDyTe.

The space group is I4mm (No. 107) and the conventional cell measures 3.833, 3.833 and 13.657 Å, with angles of 90.00, 90.00 and 90.00 degrees. Symmetry generates all atoms from Na at (0.000, 0.000, 0.000), Dy at (0.000, 0.000, 0.287) and Te at (0.000, 0.000, 0.677).

Most stable one: arrangement x, least stable one: arrangement w.

Arrangement w

A plane-wave DFT calculation with PBE was carried out for a relaxed structure of NaDy3Te4.

The space group is I4/mmm (No. 139) and the conventional cell measures 6.187, 6.187 and 12.411 Å, with angles of 90.00, 90.00 and 90.00 degrees. Symmetry generates all atoms from Na at (0.000, 0.000, 0.000), Dy at (0.000, 0.000, 0.500), Dy at (0.000, 0.500, 0.250), Te at (0.000, 0.000, 0.250) and Te at (0.000, 0.500, 0.000).

Arrangement x

A plane-wave DFT calculation with PBE was carried out for a relaxed structure of NaDy3Te4.

The space group is Cmmm (No. 65) and the conventional cell measures 8.864, 12.401 and 4.348 Å, with angles of 90.00, 90.00 and 90.00 degrees. Symmetry generates all atoms from Na at (0.000, 0.000, 0.000), Dy at (0.000, 0.500, 0.000), Dy at (0.250, 0.250, 0.500), Te at (0.000, 0.250, 0.000) and Te at (0.247, 0.500, 0.500).

Most stable one: arrangement x, least stable one: arrangement w.

Arrangement w

A plane-wave DFT calculation with PBE was carried out for a relaxed structure of NaDy6Te8.

The space group is Fm-3m (No. 225) and the conventional cell measures 12.301, 12.301 and 12.301 Å, with angles of 90.00, 90.00 and 90.00 degrees. Symmetry generates all atoms from Na at (0.000, 0.000, 0.000), Dy at (0.000, 0.250, 0.250), Te at (0.000, 0.000, 0.257) and Te at (0.250, 0.250, 0.250).

Arrangement x

A plane-wave DFT calculation with PBE was carried out for a relaxed structure of NaDy6Te8.

The space group is P-3 (No. 147) and the conventional cell measures 11.5600, 11.5600 and 4.4745 Å, with angles of 90.00, 90.00 and 120.00 degrees. Symmetry generates all atoms from Na at (0.0000, 0.0000, 0.0000), Dy at (0.1348, 0.6482, 0.7502), Te at (0.0431, 0.3445, 0.7501) and Te at (0.3333, 0.6667, 0.2503).

Most stable one: arrangement w, least stable one: arrangement x.